Density functional theory data (PBE) for a relaxed structure of Tl2Hg3Pb6.

Calculated values
space group	P1 (1)
energy of formation from the pure elements	0.027	eV per atom
raw total energy	-27.587	eV for the cell shown

Lattice parameters (Å, degrees): 5.1999 9.0327 8.9289 122.04 73.81 106.22
Closest atoms and distances in Å follow each position.
Fractional positions:
Hg  0.4931  0.4714  0.4824  3 Pb 3.27-3.42, 4 Tl 3.33-3.35, 1 Hg 3.60
Pb  0.0000  0.1697  0.1682  6 Pb 3.34-3.39, 2 Tl 3.46-3.47, 2 Hg 3.72-3.74
Pb  0.5070  0.8565  0.8465  3 Hg 3.27-3.47, 6 Pb 3.52-3.55
Tl  0.8574  0.3350  0.6262  5 Hg 3.33-3.38, 3 Pb 3.46-3.61
Pb  0.6428  0.3222  0.0325  3 Hg 3.35-3.43, 6 Pb 3.36-3.55, 1 Tl 3.54
Pb  0.1597  0.0659  0.7376  3 Hg 3.23-3.29, 6 Pb 3.34-3.55, 1 Tl 3.61
Hg  0.2937  0.4917  0.9119  6 Pb 3.19-3.47, 3 Tl 3.36-3.38
Pb  0.8514  0.7399  0.0507  3 Hg 3.19-3.22, 6 Pb 3.35-3.55
Pb  0.3586  0.0251  0.3127  3 Hg 3.35-3.44, 6 Pb 3.37-3.55, 1 Tl 3.65
Hg  0.7062  0.8959  0.4762  6 Pb 3.21-3.44, 3 Tl 3.29-3.37
Tl  0.1302  0.6268  0.3551  5 Hg 3.29-3.38, 3 Pb 3.47-3.65